[1]
# BaNaSF (PBE, optimized geometry)
# Spin magnetization: 0.00 Bohr magnetons per cell
# Volume: 186.1 Å³ per cell
# Raw formation energy: -2.341 eV per atom
# Crystal system: tetragonal
data_BaNaSF
_chemical_formula_sum 'Ba2 Na2 S2 F2'
_symmetry_space_group_name_H-M 'P 4/n m m'
_symmetry_Int_Tables_number 129
_cell_length_a 4.348
_cell_length_b 4.348
_cell_length_c 9.849
_cell_angle_alpha 90.00
_cell_angle_beta 90.00
_cell_angle_gamma 90.00
loop_
_symmetry_equiv_pos_as_xyz
'x,y,z'
'-x,-y,-z'
'-y+1/2,x,z'
'y+1/2,-x,-z'
'-x+1/2,-y+1/2,z'
'x+1/2,y+1/2,-z'
'y,-x+1/2,z'
'-y,x+1/2,-z'
'x+1/2,-y,-z'
'-x+1/2,y,z'
'-y,-x,-z'
'y,x,z'
'-x,y+1/2,-z'
'x,-y+1/2,z'
'y+1/2,x+1/2,-z'
'-y+1/2,-x+1/2,z'
loop_
_atom_site_label
_atom_site_fract_x
_atom_site_fract_y
_atom_site_fract_z
Ba1 0.250 0.250 0.158
Na1 0.250 0.750 0.500
S1 0.250 0.250 0.677
F1 0.250 0.750 0.000



[2]
# BaNa2SbF (PBE, optimized geometry)
# Spin magnetization: 0.00 Bohr magnetons per cell
# Volume: 134.8 Å³ per cell
# Raw formation energy: -1.517 eV per atom
# Crystal system: tetragonal
data_BaNa2SbF
_chemical_formula_sum 'Ba1 Na2 Sb1 F1'
_symmetry_space_group_name_H-M 'P 4/m m m'
_symmetry_Int_Tables_number 123
_symmetry_space_group_name_Hall '-P 4 2'
_cell_length_a 5.007
_cell_length_b 5.007
_cell_length_c 5.375
_cell_angle_alpha 90.00
_cell_angle_beta 90.00
_cell_angle_gamma 90.00
loop_
_atom_site_label
_atom_site_fract_x
_atom_site_fract_y
_atom_site_fract_z
Ba1 0.000 0.000 0.000
Na1 0.000 0.500 0.500
Sb1 0.500 0.500 0.000
F1 0.000 0.000 0.500